Record 1
The following is a PBE calculation of a relaxed KRhW2 crystal, from Alexandria via LeMat-Bulk.

abc: 5.6083 5.6083 5.6083
angles: 139.78 139.78 58.19
Last column: nearest neighbours and their distance in Å.
Fractional coordinates of all 4 atoms:
1 K 0.0000 0.0000 0.0000  4 Rh 2.73
2 Rh 0.5000 0.5000 0.0000  4 K 2.73
3 W 0.2500 0.7500 0.5000  4 W 2.73
4 W 0.7500 0.2500 0.5000  4 W 2.73

Properties
* formation enthalpy at 0 K: 1.549 eV per atom
* V: 18.22 Å³ per atom
* magnetic moment: 0.0 μB/cell
* space group: I4/mmm, No. 139


Record 2
The following is a PBE calculation of a relaxed KRhW2 crystal, from Alexandria via LeMat-Bulk.

abc: 4.5178 4.5178 7.6389
angles: 96.42 96.42 38.28
Last column: nearest neighbours and their distance in Å.
Fractional coordinates of all 4 atoms:
1 K 0.0000 0.0000 0.0000  2 K 2.96
2 Rh 0.2302 0.2302 0.6565  5 W 2.59-2.75
3 W 0.4954 0.4954 0.5242  2 W 2.52, 3 Rh 2.59-2.60
4 W 0.7847 0.7847 0.3671  2 W 2.52, 2 Rh 2.75

Properties
* formation enthalpy at 0 K: 0.900 eV per atom
* V: 23.98 Å³ per atom
* magnetic moment: 0.0 μB/cell
* space group: Cm, No. 8


Record 3
The following is a PBE calculation of a relaxed KRhW2 crystal, from Alexandria via LeMat-Bulk.

abc: 2.7438 4.0067 8.1989
angles: 90.00 90.00 90.00
Last column: nearest neighbours and their distance in Å.
Fractional coordinates of all 4 atoms:
1 K 0.0000 0.0000 0.0000  2 K 2.74
2 Rh 0.0000 0.0000 0.5000  8 W 2.72, 2 Rh 2.74
3 W 0.5000 0.5000 0.3492  3 W 2.47-2.74, 4 Rh 2.72
4 W 0.5000 0.5000 0.6508  3 W 2.47-2.74, 4 Rh 2.72

Properties
* formation enthalpy at 0 K: 0.880 eV per atom
* V: 22.53 Å³ per atom
* magnetic moment: 0.0 μB/cell
* space group: Pmmm, No. 47


Record 4
The following is a PBE calculation of a relaxed KRhW2 crystal, from Alexandria via LeMat-Bulk.

abc: 6.2866 6.2866 6.2866
angles: 155.27 132.01 54.72
Last column: nearest neighbours and their distance in Å.
Fractional coordinates of all 4 atoms:
1 K 0.0000 0.0000 0.0000  2 K 2.69, 4 Rh 2.89
2 Rh 0.5000 0.5000 0.0000  4 W 2.67, 2 Rh 2.69, 4 K 2.89
3 W 0.2935 0.7935 0.5000  2 Rh 2.67, 2 W 2.69
4 W 0.7065 0.2065 0.5000  2 Rh 2.67, 2 W 2.69

Properties
* formation enthalpy at 0 K: 0.947 eV per atom
* V: 19.21 Å³ per atom
* magnetic moment: 0.0 μB/cell
* space group: Immm, No. 71


Record 5
The following is a PBE calculation of a relaxed K2RhW crystal, from Alexandria via LeMat-Bulk.

abc: 10.5420 10.5420 10.5420
angles: 163.07 157.76 28.08
Last column: nearest neighbours and their distance in Å.
Fractional coordinates of all 4 atoms:
1 K 0.1461 0.1461 0.0000  2 K 3.10, 2 Rh 3.37
2 K 0.8539 0.8539 0.0000  2 K 3.10, 2 Rh 3.37
3 Rh 0.0000 0.5000 0.5000  4 W 2.56
4 W 0.5000 0.0000 0.5000  4 Rh 2.56

Properties
* formation enthalpy at 0 K: 0.725 eV per atom
* V: 32.27 Å³ per atom
* magnetic moment: 0.8 μB/cell
* space group: Immm, No. 71


Record 6
The following is a PBE calculation of a relaxed K3RhW crystal, from Alexandria via LeMat-Bulk.

abc: 5.9275 5.9275 5.9275
angles: 90.00 90.00 90.00
Last column: nearest neighbours and their distance in Å.
Fractional coordinates of all 5 atoms:
1 K 0.0000 0.0000 0.5000  2 Rh 2.96
2 K 0.0000 0.5000 0.0000  2 Rh 2.96
3 K 0.5000 0.0000 0.0000  2 Rh 2.96
4 Rh 0.0000 0.0000 0.0000  6 K 2.96
5 W 0.5000 0.5000 0.5000  12 K 4.19

Properties
* formation enthalpy at 0 K: 1.774 eV per atom
* V: 41.65 Å³ per atom
* magnetic moment: 5.0 μB/cell
* space group: Pm-3m, No. 221